1.
! Fe2ReBr, single point on PBEsol structure, DFT meta-GGA SCAN; values from VASP
! - formation energy from raw total energies (meV per atom) = 670
! - calculated density (g/cm³) = 11.5
! - density of states at the Fermi level (states/eV/cell) = 3.4
&SYSTEM
  ibrav = 0, nat = 4, ntyp = 3
/
ATOMIC_SPECIES
Fe 55.84 Fe.upf
Re 186.21 Re.upf
Br 79.90 Br.upf
CELL_PARAMETERS angstrom
2.8645 0.0000 0.0000
0.0000 2.8645 0.0000
0.0000 0.0000 6.6368
ATOMIC_POSITIONS crystal
Fe 0.0000 0.0000 0.2402
Fe 0.0000 0.0000 0.7598
Re 0.5000 0.5000 0.0000
Br 0.5000 0.5000 0.5000

2.
! ZrBi2O2, single point on PBEsol structure, DFT meta-GGA SCAN; values from VASP
! - formation energy from raw total energies (meV per atom) = 53
! - calculated density (g/cm³) = 9.9
! - density of states at the Fermi level (states/eV/cell) = 2.0
&SYSTEM
  ibrav = 0, nat = 5, ntyp = 3
/
ATOMIC_SPECIES
Zr 91.22 Zr.upf
Bi 208.98 Bi.upf
O 16.00 O.upf
CELL_PARAMETERS angstrom
4.7169 0.0000 0.0000
0.0000 4.7169 0.0000
0.0000 0.0000 4.0859
ATOMIC_POSITIONS crystal
Zr 0.0000 0.0000 0.0000
Bi 0.0000 0.5000 0.5000
Bi 0.5000 0.0000 0.5000
O 0.5000 0.5000 0.0000
O 0.5000 0.5000 0.5000

3.
! Li2ZnRe, single point on PBEsol structure, DFT meta-GGA SCAN; values from VASP
! - calculated density (g/cm³) = 7.5
! - density of states at the Fermi level (states/eV/cell) = 2.1
! - DFT total energy (eV/cell) = -89.02
&SYSTEM
  ibrav = 0, nat = 4, ntyp = 3
/
ATOMIC_SPECIES
Li 6.94 Li.upf
Zn 65.41 Zn.upf
Re 186.21 Re.upf
CELL_PARAMETERS angstrom
1.6048 -2.0224 0.0000
1.6048 2.0224 0.0000
0.0000 0.0000 9.0374
ATOMIC_POSITIONS crystal
Li 0.0000 0.0000 0.0000
Li 0.5000 0.5000 0.2879
Zn 0.0000 0.0000 0.5209
Re 0.5000 0.5000 0.7595

4.
! NbGa3Ni12, single point on PBEsol structure, DFT meta-GGA SCAN; values from VASP
! - calculated density (g/cm³) = 9.3
! - density of states at the Fermi level (states/eV/cell) = 7.7
! - DFT total energy (eV/cell) = -280.79
&SYSTEM
  ibrav = 0, nat = 16, ntyp = 3
/
ATOMIC_SPECIES
Nb 92.91 Nb.upf
Ga 69.72 Ga.upf
Ni 58.69 Ni.upf
CELL_PARAMETERS angstrom
3.5681 0.0000 0.0000
0.0000 3.5681 0.0000
0.0000 0.0000 14.0752
ATOMIC_POSITIONS crystal
Nb 0.0000 0.0000 0.0000
Ga 0.0000 0.0000 0.2556
Ga 0.0000 0.0000 0.5000
Ga 0.0000 0.0000 0.7444
Ni 0.0000 0.5000 0.1290
Ni 0.0000 0.5000 0.3768
Ni 0.0000 0.5000 0.6232
Ni 0.0000 0.5000 0.8710
Ni 0.5000 0.0000 0.1290
Ni 0.5000 0.0000 0.3768
Ni 0.5000 0.0000 0.6232
Ni 0.5000 0.0000 0.8710
Ni 0.5000 0.5000 0.0000
Ni 0.5000 0.5000 0.2531
Ni 0.5000 0.5000 0.5000
Ni 0.5000 0.5000 0.7469

5.
! Cd3GeCl, single point on PBEsol structure, DFT meta-GGA SCAN; values from VASP
! - formation energy from raw total energies (meV per atom) = 638
! - calculated density (g/cm³) = 5.4
! - density of states at the Fermi level (states/eV/cell) = 3.6
&SYSTEM
  ibrav = 0, nat = 5, ntyp = 3
/
ATOMIC_SPECIES
Cd 112.41 Cd.upf
Ge 72.64 Ge.upf
Cl 35.45 Cl.upf
CELL_PARAMETERS angstrom
5.1633 0.0000 0.0000
0.0000 5.1633 0.0000
0.0000 0.0000 5.1633
ATOMIC_POSITIONS crystal
Cd 0.0000 0.0000 0.5000
Cd 0.0000 0.5000 0.0000
Cd 0.5000 0.0000 0.0000
Ge 0.5000 0.5000 0.5000
Cl 0.0000 0.0000 0.0000

6.
! CePd, single point on PBEsol structure, DFT meta-GGA SCAN; values from VASP
! - calculated density (g/cm³) = 9.1
! - density of states at the Fermi level (states/eV/cell) = 8.2
! - DFT total energy (eV/cell) = -157.67
&SYSTEM
  ibrav = 0, nat = 4, ntyp = 2
/
ATOMIC_SPECIES
Ce 140.12 Ce.upf
Pd 106.42 Pd.upf
CELL_PARAMETERS angstrom
1.8685 -5.4306 0.0000
1.8685 5.4306 0.0000
0.0000 0.0000 4.4219
ATOMIC_POSITIONS crystal
Ce 0.1375 0.8625 0.7500
Ce 0.8625 0.1375 0.2500
Pd 0.4104 0.5896 0.7500
Pd 0.5896 0.4104 0.2500